Record 1
RbAlH2: relaxed, GGA-PBE.

**Energy relative to the lowest polymorph listed for this composition**: 42.4 kJ/mol of formula units

CIF file:
```
data_RbAlH2
_chemical_formula_sum 'Rb2 Al2 H4'
_cell_length_a 4.441
_cell_length_b 6.096
_cell_length_c 7.093
_cell_angle_alpha 65.78
_cell_angle_beta 73.31
_cell_angle_gamma 89.71
_symmetry_space_group_name_H-M 'P 1'
_symmetry_Int_Tables_number 1
loop_
_symmetry_equiv_pos_as_xyz
'x,y,z'
loop_
_atom_site_label
_atom_site_type_symbol
_atom_site_fract_x
_atom_site_fract_y
_atom_site_fract_z
Rb1 Rb 0.000 0.000 0.000
Rb2 Rb 0.244 0.647 0.609
Al1 Al 0.453 0.444 0.151
Al2 Al 0.807 0.250 0.408
H1 H 0.189 0.297 0.425
H2 H 0.424 0.708 0.177
H3 H 0.654 0.219 0.667
H4 H 0.818 0.960 0.447
```

=====

Record 2
Pr6TmIn3: relaxed, GGA-PBE.

**Final energy**: -4.316 eV/atom

CIF file:
```
data_Pr6TmIn3
_chemical_formula_sum 'Pr24 Tm4 In12'
_cell_length_a 11.472
_cell_length_b 17.294
_cell_length_c 6.812
_cell_angle_alpha 90.00
_cell_angle_beta 90.00
_cell_angle_gamma 90.00
_symmetry_space_group_name_H-M 'C m c 21'
_symmetry_Int_Tables_number 36
loop_
_symmetry_equiv_pos_as_xyz
'x,y,z'
'-x,-y,z+1/2'
'-x,y,z'
'x,-y,z+1/2'
'x+1/2,y+1/2,z'
'-x+1/2,-y+1/2,z+1/2'
'-x+1/2,y+1/2,z'
'x+1/2,-y+1/2,z+1/2'
loop_
_atom_site_label
_atom_site_type_symbol
_atom_site_fract_x
_atom_site_fract_y
_atom_site_fract_z
Pr1 Pr 0.000 0.029 0.000
Pr2 Pr 0.000 0.335 0.824
Pr3 Pr 0.167 0.490 0.043
Pr4 Pr 0.227 0.182 0.796
Tm1 Tm 0.000 0.205 0.438
In1 In 0.000 0.378 0.314
In2 In 0.207 0.131 0.264
```

=====

Record 3
Li2MgAu2: relaxed, GGA-PBE.

**Energy relative to the lowest polymorph listed for this composition**: 14.1 kJ/mol of formula units

CIF file:
```
data_Li2MgAu2
_chemical_formula_sum 'Li4 Mg2 Au4'
_cell_length_a 7.397
_cell_length_b 7.397
_cell_length_c 2.961
_cell_angle_alpha 90.00
_cell_angle_beta 90.00
_cell_angle_gamma 90.00
_symmetry_space_group_name_H-M 'P 4/m b m'
_symmetry_Int_Tables_number 127
_symmetry_space_group_name_Hall '-P 4 2ab'
loop_
_atom_site_label
_atom_site_type_symbol
_atom_site_fract_x
_atom_site_fract_y
_atom_site_fract_z
Li1 Li 0.119 0.381 0.000
Mg1 Mg 0.000 0.000 0.000
Au1 Au 0.178 0.678 0.500
```

=====

Record 4
ZrBe2Sb: relaxed, GGA-PBE.

**ΔE_f (raw)**: 0.0019 eV/atom

CIF file:
```
data_ZrBe2Sb
_chemical_formula_sum 'Zr1 Be2 Sb1'
_cell_length_a 3.215
_cell_length_b 3.928
_cell_length_c 5.252
_cell_angle_alpha 90.00
_cell_angle_beta 90.00
_cell_angle_gamma 90.00
_symmetry_space_group_name_H-M 'P m m m'
_symmetry_Int_Tables_number 47
loop_
_symmetry_equiv_pos_as_xyz
'x,y,z'
'-x,-y,-z'
'-x,-y,z'
'x,y,-z'
'x,-y,-z'
'-x,y,z'
'-x,y,-z'
'x,-y,z'
loop_
_atom_site_label
_atom_site_type_symbol
_atom_site_fract_x
_atom_site_fract_y
_atom_site_fract_z
Zr1 Zr 0.000 0.000 0.000
Be1 Be 0.500 0.500 0.200
Sb1 Sb 0.500 0.000 0.500
```

=====

Record 5
TcSe: relaxed, GGA-PBE.

**Energy relative to the lowest polymorph listed for this composition**: 107.6 kJ/mol of formula units
**ΔE_f (raw)**: 0.3516 eV/atom

CIF file:
```
data_TcSe
_chemical_formula_sum 'Tc2 Se2'
_cell_length_a 3.8282
_cell_length_b 3.8282
_cell_length_c 6.7298
_cell_angle_alpha 90.00
_cell_angle_beta 90.00
_cell_angle_gamma 120.00
_symmetry_space_group_name_H-M 'P 63 m c'
_symmetry_Int_Tables_number 186
_symmetry_space_group_name_Hall 'P 6c -2c'
loop_
_atom_site_label
_atom_site_type_symbol
_atom_site_fract_x
_atom_site_fract_y
_atom_site_fract_z
Tc1 Tc 0.3333 0.6667 0.0000
Se1 Se 0.3333 0.6667 0.6374
```

=====

Record 6
SmHo2ErSb4: relaxed, GGA-PBE.

**ΔE_f (raw)**: -1.1213 eV/atom

CIF file:
```
data_SmHo2ErSb4
_chemical_formula_sum 'Sm1 Ho2 Er1 Sb4'
_cell_length_a 7.603
_cell_length_b 4.394
_cell_length_c 7.605
_cell_angle_alpha 90.00
_cell_angle_beta 109.48
_cell_angle_gamma 90.00
_symmetry_space_group_name_H-M 'P 1 2/m 1'
_symmetry_Int_Tables_number 10
loop_
_symmetry_equiv_pos_as_xyz
'x,y,z'
'-x,-y,-z'
'-x,y,-z'
'x,-y,z'
loop_
_atom_site_label
_atom_site_type_symbol
_atom_site_fract_x
_atom_site_fract_y
_atom_site_fract_z
Sm1 Sm 0.000 0.000 0.000
Ho1 Ho 0.000 0.500 0.500
Ho2 Ho 0.500 0.000 0.500
Er1 Er 0.500 0.500 0.000
Sb1 Sb 0.253 0.000 0.748
Sb2 Sb 0.255 0.500 0.254
```

=====

Record 7
NbBiC3: relaxed, GGA-PBE.

**Energy relative to the lowest polymorph listed for this composition**: 0.0 kJ/mol of formula units

CIF file:
```
data_NbBiC3
_chemical_formula_sum 'Nb1 Bi1 C3'
_cell_length_a 4.261
_cell_length_b 4.261
_cell_length_c 4.261
_cell_angle_alpha 90.00
_cell_angle_beta 90.00
_cell_angle_gamma 90.00
_symmetry_space_group_name_H-M 'P m -3 m'
_symmetry_Int_Tables_number 221
_symmetry_space_group_name_Hall '-P 4 2 3'
loop_
_atom_site_label
_atom_site_type_symbol
_atom_site_fract_x
_atom_site_fract_y
_atom_site_fract_z
Nb1 Nb 0.000 0.000 0.000
Bi1 Bi 0.500 0.500 0.500
C1 C 0.000 0.000 0.500
```

=====

Record 8
Sm3RhSCl: relaxed, GGA-PBE.

**ΔE_f (raw)**: -1.2763 eV/atom

CIF file:
```
data_Sm3RhSCl
_chemical_formula_sum 'Sm6 Rh2 S2 Cl2'
_cell_length_a 8.006
_cell_length_b 3.995
_cell_length_c 10.118
_cell_angle_alpha 90.00
_cell_angle_beta 93.89
_cell_angle_gamma 90.00
_symmetry_space_group_name_H-M 'P 1 21/m 1'
_symmetry_Int_Tables_number 11
loop_
_symmetry_equiv_pos_as_xyz
'x,y,z'
'-x,-y,-z'
'-x,y+1/2,-z'
'x,-y+1/2,z'
loop_
_atom_site_label
_atom_site_type_symbol
_atom_site_fract_x
_atom_site_fract_y
_atom_site_fract_z
Sm1 Sm 0.155 0.250 0.403
Sm2 Sm 0.157 0.250 0.809
Sm3 Sm 0.321 0.750 0.111
Rh1 Rh 0.064 0.250 0.108
S1 S 0.414 0.750 0.849
Cl1 Cl 0.395 0.750 0.392
```

=====

Record 9
CrHgW3: relaxed, GGA-PBE.

**Energy relative to the lowest polymorph listed for this composition**: 0.0 kJ/mol of formula units

CIF file:
```
data_CrHgW3
_chemical_formula_sum 'Cr1 Hg1 W3'
_cell_length_a 4.536
_cell_length_b 4.536
_cell_length_c 4.536
_cell_angle_alpha 90.00
_cell_angle_beta 90.00
_cell_angle_gamma 90.00
_symmetry_space_group_name_H-M 'P m -3 m'
_symmetry_Int_Tables_number 221
_symmetry_space_group_name_Hall '-P 4 2 3'
loop_
_atom_site_label
_atom_site_type_symbol
_atom_site_fract_x
_atom_site_fract_y
_atom_site_fract_z
Cr1 Cr 0.000 0.000 0.000
Hg1 Hg 0.500 0.500 0.500
W1 W 0.000 0.000 0.500
```

=====

Record 10
LuThBeZn: relaxed, GGA-PBE.

**Final energy**: -4.268 eV/atom

CIF file:
```
data_LuThBeZn
_chemical_formula_sum 'Lu4 Th4 Be4 Zn4'
_cell_length_a 7.036
_cell_length_b 7.036
_cell_length_c 7.036
_cell_angle_alpha 90.00
_cell_angle_beta 90.00
_cell_angle_gamma 90.00
_symmetry_space_group_name_H-M 'F -4 3 m'
_symmetry_Int_Tables_number 216
_symmetry_space_group_name_Hall 'F -4 2 3'
loop_
_atom_site_label
_atom_site_type_symbol
_atom_site_fract_x
_atom_site_fract_y
_atom_site_fract_z
Lu1 Lu 0.000 0.000 0.000
Th1 Th 0.000 0.000 0.500
Be1 Be 0.250 0.250 0.250
Zn1 Zn 0.250 0.250 0.750
```

=====

Record 11
LaHoSc3: relaxed, GGA-PBE.

**Final energy**: -5.558 eV/atom

CIF file:
```
data_LaHoSc3
_chemical_formula_sum 'La4 Ho4 Sc12'
_cell_length_a 10.693
_cell_length_b 6.656
_cell_length_c 8.538
_cell_angle_alpha 90.00
_cell_angle_beta 108.19
_cell_angle_gamma 90.00
_symmetry_space_group_name_H-M 'C 1 2/m 1'
_symmetry_Int_Tables_number 12
loop_
_symmetry_equiv_pos_as_xyz
'x,y,z'
'-x,-y,-z'
'-x,y,-z'
'x,-y,z'
'x+1/2,y+1/2,z'
'-x+1/2,-y+1/2,-z'
'-x+1/2,y+1/2,-z'
'x+1/2,-y+1/2,z'
loop_
_atom_site_label
_atom_site_type_symbol
_atom_site_fract_x
_atom_site_fract_y
_atom_site_fract_z
La1 La 0.059 0.000 0.223
Ho1 Ho 0.208 0.500 0.002
Sc1 Sc 0.069 0.500 0.283
Sc2 Sc 0.153 0.248 0.615
```

=====

Record 12
Er2Tm7Tl2: relaxed, GGA-PBE.

**Final energy**: -4.070 eV/atom

CIF file:
```
data_Er2Tm7Tl2
_chemical_formula_sum 'Er4 Tm14 Tl4'
_cell_length_a 8.900
_cell_length_b 9.423
_cell_length_c 8.112
_cell_angle_alpha 90.00
_cell_angle_beta 104.84
_cell_angle_gamma 90.00
_symmetry_space_group_name_H-M 'C 1 2/m 1'
_symmetry_Int_Tables_number 12
loop_
_symmetry_equiv_pos_as_xyz
'x,y,z'
'-x,-y,-z'
'-x,y,-z'
'x,-y,z'
'x+1/2,y+1/2,z'
'-x+1/2,-y+1/2,-z'
'-x+1/2,y+1/2,-z'
'x+1/2,-y+1/2,z'
loop_
_atom_site_label
_atom_site_type_symbol
_atom_site_fract_x
_atom_site_fract_y
_atom_site_fract_z
Er1 Er 0.000 0.179 0.000
Tm1 Tm 0.000 0.000 0.500
Tm2 Tm 0.182 0.295 0.676
Tm3 Tm 0.191 0.500 0.025
Tl1 Tl 0.113 0.500 0.356
```